[1]
This record from Alexandria describes a geometry-optimized MgCd2F6 structure. The functional is PBE.

Lattice parameters (Å, degrees): 5.040 5.040 10.189 90.00 90.00 90.00
Fractional coordinates of all 18 atoms:
F: 0.315 0.315 0.848
F: 0.685 0.685 0.152
F: 0.815 0.185 0.348
Mg: 0.500 0.500 0.000
F: 0.185 0.815 0.348
F: 0.315 0.315 0.152
Cd: 0.500 0.500 0.334
F: 0.215 0.785 0.000
F: 0.785 0.215 0.000
Cd: 0.000 0.000 0.834
F: 0.715 0.715 0.500
Cd: 0.500 0.500 0.666
F: 0.685 0.685 0.848
F: 0.285 0.285 0.500
Mg: 0.000 0.000 0.500
Cd: 0.000 0.000 0.166
F: 0.815 0.185 0.652
F: 0.185 0.815 0.652

Summary:
* magnetic moment: 0.00 μB per cell
* E: -4.264 eV per atom

[2]
This record from Alexandria describes a geometry-optimized BeHCl structure. The functional is PBE.

Lattice parameters (Å, degrees): 5.361 2.928 3.264 90.00 89.82 73.62
Fractional coordinates of all 3 atoms:
Cl: 0.888 0.052 0.944
Be: 0.118 0.933 0.443
H: 0.248 0.366 0.442

Summary:
* magnetic moment: 0.00 μB per cell
* E: -3.481 eV per atom